Record 1
The following is a DFT calculation (GGA-PBE) of a relaxed SrHfMgPt crystal.

## Properties
ΔE to the lowest computed polymorph (meV per atom): 0

abc: 6.9312 6.9312 6.9312
angles: 90.00 90.00 90.00
Last column: nearest neighbours and their distance in Å.
Space group F-43m (No. 216)
Unique sites:
Sr 0.0000 0.0000 0.0000  4 Hf 3.00, 4 Mg 3.00
Hf 0.2500 0.2500 0.7500  4 Sr 3.00, 4 Pt 3.00
Mg 0.2500 0.2500 0.2500  4 Sr 3.00, 4 Pt 3.00
Pt 0.0000 0.0000 0.5000  4 Mg 3.00, 4 Hf 3.00

***

Record 2
The following is a DFT calculation (GGA-PBE) of a relaxed HfMgZnPt crystal.

## Properties
ΔE to the lowest computed polymorph (meV per atom): 0

abc: 6.4966 6.4966 6.4966
angles: 90.00 90.00 90.00
Last column: nearest neighbours and their distance in Å.
Space group F-43m (No. 216)
Unique sites:
Hf 0.0000 0.0000 0.0000  4 Pt 2.81, 4 Zn 2.81
Mg 0.0000 0.0000 0.5000  4 Pt 2.81, 4 Zn 2.81
Zn 0.2500 0.2500 0.2500  4 Hf 2.81, 4 Mg 2.81
Pt 0.2500 0.2500 0.7500  4 Hf 2.81, 4 Mg 2.81

***

Record 3
The following is a DFT calculation (GGA-PBE) of a relaxed HfMgZn2Pt4 crystal.

## Properties
Electronic total energy (eV per atom): -5.60

abc: 4.6660 4.6660 5.8536
angles: 90.00 90.00 90.00
Last column: nearest neighbours and their distance in Å.
Space group P4/mmm (No. 123)
Unique sites:
Hf 0.0000 0.0000 0.0000  8 Pt 2.77, 2 Zn 2.93
Mg 0.5000 0.5000 0.5000  8 Pt 2.74, 2 Zn 2.93
Zn 0.0000 0.0000 0.5000  8 Pt 2.74, 2 Hf 2.93
Zn 0.5000 0.5000 0.0000  8 Pt 2.77, 2 Mg 2.93
Pt 0.0000 0.5000 0.2550  2 Mg 2.74, 4 Zn 2.74-2.77, 2 Hf 2.77, 2 Pt 2.87-2.99

***

Record 4
The following is a DFT calculation (GGA-PBE) of a relaxed HfMgZnPt crystal.

## Properties
ΔE to the lowest computed polymorph (meV per atom): 310

abc: 6.4238 6.4238 6.4238
angles: 90.00 90.00 90.00
Last column: nearest neighbours and their distance in Å.
Space group F-43m (No. 216)
Unique sites:
Hf 0.0000 0.0000 0.0000  4 Mg 2.78, 4 Zn 2.78
Mg 0.2500 0.2500 0.2500  4 Pt 2.78, 4 Hf 2.78
Zn 0.2500 0.2500 0.7500  4 Hf 2.78, 4 Pt 2.78
Pt 0.0000 0.0000 0.5000  4 Zn 2.78, 4 Mg 2.78

***

Record 5
The following is a DFT calculation (GGA-PBE) of a relaxed HfMgZnPt crystal.

## Properties
ΔE to the lowest computed polymorph (meV per atom): 115

abc: 6.4456 6.4456 6.4456
angles: 90.00 90.00 90.00
Last column: nearest neighbours and their distance in Å.
Space group F-43m (No. 216)
Unique sites:
Hf 0.0000 0.0000 0.0000  4 Mg 2.79, 4 Pt 2.79
Mg 0.2500 0.2500 0.7500  4 Hf 2.79, 4 Zn 2.79
Zn 0.0000 0.0000 0.5000  4 Pt 2.79, 4 Mg 2.79
Pt 0.2500 0.2500 0.2500  4 Hf 2.79, 4 Zn 2.79

***

Record 6
The following is a DFT calculation (GGA-PBE) of a relaxed HfMg2ZrZn2Pt2 crystal.

## Properties
Electronic total energy (eV per atom): -4.91

abc: 4.5535 4.5535 6.4449
angles: 90.00 90.00 90.00
Last column: nearest neighbours and their distance in Å.
Space group P-4m2 (No. 115)
Unique sites:
Hf 0.0000 0.0000 0.0000  4 Zn 2.79, 4 Mg 2.79
Mg 0.0000 0.5000 0.2505  2 Zr 2.79, 4 Pt 2.79, 2 Hf 2.79
Zr 0.5000 0.5000 0.5000  4 Mg 2.79, 4 Zn 2.79
Zn 0.0000 0.5000 0.7505  2 Hf 2.79, 4 Pt 2.79, 2 Zr 2.79
Pt 0.0000 0.0000 0.5000  4 Mg 2.79, 4 Zn 2.79
Pt 0.5000 0.5000 0.0000  4 Zn 2.79, 4 Mg 2.79

***

Record 7
The following is a DFT calculation (GGA-PBE) of a relaxed RbHfMg crystal.

## Properties
ΔE to the lowest computed polymorph (meV per atom): 395

abc: 7.6842 7.6842 7.6842
angles: 90.00 90.00 90.00
Last column: nearest neighbours and their distance in Å.
Space group F-43m (No. 216)
Unique sites:
Rb 0.0000 0.0000 0.0000  4 Hf 3.33, 4 Mg 3.33
Hf 0.2500 0.2500 0.7500  4 Rb 3.33
Mg 0.2500 0.2500 0.2500  4 Rb 3.33

***

Record 8
The following is a DFT calculation (GGA-PBE) of a relaxed RbHfMg crystal.

## Properties
ΔE to the lowest computed polymorph (meV per atom): 0

abc: 7.7768 7.7768 7.7768
angles: 90.00 90.00 90.00
Last column: nearest neighbours and their distance in Å.
Space group F-43m (No. 216)
Unique sites:
Rb 0.0000 0.0000 0.0000  4 Mg 3.37
Hf 0.0000 0.0000 0.5000  4 Mg 3.37
Mg 0.2500 0.2500 0.7500  4 Hf 3.37, 4 Rb 3.37

***

Record 9
The following is a DFT calculation (GGA-PBE) of a relaxed RbHfMgSe3 crystal.

## Properties
ΔE to the lowest computed polymorph (meV per atom): 52

abc: 4.0076 15.5673 10.5544
angles: 90.00 90.00 90.00
Last column: nearest neighbours and their distance in Å.
Space group Cmcm (No. 63)
Unique sites:
Rb 0.0000 0.2425 0.2500  8 Se 3.50-3.66, 2 Mg 3.91
Hf 0.0000 0.5000 0.0000  6 Se 2.78-2.79
Mg 0.0000 0.0418 0.7500  4 Se 2.51-2.54
Se 0.0000 0.1204 0.5421  1 Mg 2.51, 2 Hf 2.78
Se 0.0000 0.4415 0.7500  2 Mg 2.54, 2 Hf 2.79

***

Record 10
The following is a DFT calculation (GGA-PBE) of a relaxed RbHfMgSe3 crystal.

## Properties
ΔE to the lowest computed polymorph (meV per atom): 0

abc: 9.1820 3.9733 10.0893
angles: 90.00 112.39 90.00
Last column: nearest neighbours and their distance in Å.
Space group P2_1/m (No. 11)
Unique sites:
Rb 0.2141 0.2500 0.2453  7 Se 3.42-3.66
Hf 0.3538 0.7500 0.8827  5 Se 2.64-2.80
Mg 0.0881 0.2500 0.6197  4 Se 2.50-2.67
Se 0.1384 0.2500 0.8810  1 Mg 2.50
Se 0.2162 0.7500 0.5509  3 Mg 2.54-2.67
Se 0.4729 0.7500 0.1657  3 Hf 2.64-2.70

***

Record 11
The following is a DFT calculation (GGA-PBE) of a relaxed RbHfMgTe3 crystal.

## Properties
Electronic total energy (eV per atom): -4.46

abc: 4.2921 16.7008 11.2501
angles: 90.00 90.00 90.00
Last column: nearest neighbours and their distance in Å.
Space group Cmcm (No. 63)
Unique sites:
Rb 0.0000 0.2475 0.2500  8 Te 3.74-3.95, 2 Mg 4.15
Hf 0.0000 0.0000 0.0000  6 Te 2.98-3.04
Mg 0.0000 0.4648 0.7500  4 Te 2.74-2.76
Te 0.0000 0.0691 0.7500  2 Mg 2.76, 2 Hf 3.04
Te 0.0000 0.3796 0.5414  1 Mg 2.74, 2 Hf 2.98

***

Record 12
The following is a DFT calculation (GGA-PBE) of a relaxed HfMg2Re crystal.

## Properties
Electronic total energy (eV per atom): -6.17

abc: 6.6377 6.6377 6.6377
angles: 90.00 90.00 90.00
Last column: nearest neighbours and their distance in Å.
Space group F-43m (No. 216)
Unique sites:
Hf 0.0000 0.0000 0.0000  4 Re 2.87, 4 Mg 2.87
Mg 0.0000 0.0000 0.5000  4 Re 2.87, 4 Mg 2.87
Mg 0.2500 0.2500 0.2500  4 Hf 2.87, 4 Mg 2.87
Re 0.2500 0.2500 0.7500  4 Hf 2.87, 4 Mg 2.87

***

Record 13
The following is a DFT calculation (GGA-PBE) of a relaxed HfMgReSb crystal.

## Properties
ΔE to the lowest computed polymorph (meV per atom): 0

abc: 6.6174 6.6174 6.6174
angles: 90.00 90.00 90.00
Last column: nearest neighbours and their distance in Å.
Space group F-43m (No. 216)
Unique sites:
Hf 0.0000 0.0000 0.0000  4 Re 2.87, 4 Mg 2.87
Mg 0.2500 0.2500 0.7500  4 Hf 2.87, 4 Sb 2.87
Re 0.2500 0.2500 0.2500  4 Hf 2.87, 4 Sb 2.87
Sb 0.0000 0.0000 0.5000  4 Re 2.87, 4 Mg 2.87

***

Record 14
The following is a DFT calculation (GGA-PBE) of a relaxed HfMgReSb crystal.

## Properties
ΔE to the lowest computed polymorph (meV per atom): 262

abc: 6.6685 6.6685 6.6685
angles: 90.00 90.00 90.00
Last column: nearest neighbours and their distance in Å.
Space group F-43m (No. 216)
Unique sites:
Hf 0.0000 0.0000 0.0000  4 Sb 2.89, 4 Mg 2.89
Mg 0.2500 0.2500 0.2500  4 Hf 2.89, 4 Re 2.89
Re 0.0000 0.0000 0.5000  4 Mg 2.89, 4 Sb 2.89
Sb 0.2500 0.2500 0.7500  4 Re 2.89, 4 Hf 2.89

***

Record 15
The following is a DFT calculation (GGA-PBE) of a relaxed HfMgTaRe crystal.

## Properties
ΔE to the lowest computed polymorph (meV per atom): 0

abc: 6.5929 6.5929 6.5929
angles: 90.00 90.00 90.00
Last column: nearest neighbours and their distance in Å.
Space group F-43m (No. 216)
Unique sites:
Hf 0.0000 0.0000 0.0000  4 Re 2.85, 4 Mg 2.85
Mg 0.2500 0.2500 0.7500  4 Hf 2.85, 4 Ta 2.85
Ta 0.0000 0.0000 0.5000  4 Mg 2.85, 4 Re 2.85
Re 0.2500 0.2500 0.2500  4 Hf 2.85, 4 Ta 2.85

***

Record 16
The following is a DFT calculation (GGA-PBE) of a relaxed HfMgTaRe crystal.

## Properties
ΔE to the lowest computed polymorph (meV per atom): 158

abc: 6.5782 6.5782 6.5782
angles: 90.00 90.00 90.00
Last column: nearest neighbours and their distance in Å.
Space group F-43m (No. 216)
Unique sites:
Hf 0.0000 0.0000 0.0000  4 Ta 2.85, 4 Mg 2.85
Mg 0.2500 0.2500 0.2500  4 Re 2.85, 4 Hf 2.85
Ta 0.2500 0.2500 0.7500  4 Hf 2.85, 4 Re 2.85
Re 0.0000 0.0000 0.5000  4 Ta 2.85, 4 Mg 2.85

***

Record 17
The following is a DFT calculation (GGA-PBE) of a relaxed HfMgSb crystal.

## Properties
ΔE to the lowest computed polymorph (meV per atom): 0

abc: 4.3200 4.3200 7.3853
angles: 90.00 90.00 90.00
Last column: nearest neighbours and their distance in Å.
Space group P4/nmm (No. 129, origin choice 2)
Unique sites:
Hf 0.2500 0.7500 0.0000  4 Sb 3.04, 4 Hf 3.05, 4 Mg 3.19
Mg 0.2500 0.2500 0.3185  5 Sb 2.90-3.06, 4 Hf 3.19
Sb 0.2500 0.2500 0.7110  5 Mg 2.90-3.06, 4 Hf 3.04

***

Record 18
The following is a DFT calculation (GGA-PBE) of a relaxed HfMgSb crystal.

## Properties
ΔE to the lowest computed polymorph (meV per atom): 668

abc: 6.7423 6.7423 6.7423
angles: 90.00 90.00 90.00
Last column: nearest neighbours and their distance in Å.
Space group F-43m (No. 216)
Unique sites:
Hf 0.0000 0.0000 0.0000  4 Sb 2.92
Mg 0.0000 0.0000 0.5000  4 Sb 2.92
Sb 0.2500 0.2500 0.2500  4 Hf 2.92, 4 Mg 2.92

***

Record 19
The following is a DFT calculation (GGA-PBE) of a relaxed HfMg2Sb crystal.

## Properties
Electronic total energy (eV per atom): -4.18

abc: 7.1002 7.1002 7.1002
angles: 90.00 90.00 90.00
Last column: nearest neighbours and their distance in Å.
Space group F-43m (No. 216)
Unique sites:
Hf 0.0000 0.0000 0.0000  4 Sb 3.07, 4 Mg 3.07
Mg 0.0000 0.0000 0.5000  4 Mg 3.07, 4 Sb 3.07
Mg 0.2500 0.2500 0.2500  4 Hf 3.07, 4 Mg 3.07
Sb 0.2500 0.2500 0.7500  4 Mg 3.07, 4 Hf 3.07

***

Record 20
The following is a DFT calculation (GGA-PBE) of a relaxed HfMgSb2 crystal.

## Properties
Electronic total energy (eV per atom): -4.72

abc: 7.2629 7.2629 7.2629
angles: 90.00 90.00 90.00
Last column: nearest neighbours and their distance in Å.
Space group F-43m (No. 216)
Unique sites:
Hf 0.0000 0.0000 0.0000  4 Sb 3.14, 4 Mg 3.14
Mg 0.2500 0.2500 0.7500  4 Hf 3.14, 4 Sb 3.14
Sb 0.0000 0.0000 0.5000  4 Sb 3.14, 4 Mg 3.14
Sb 0.2500 0.2500 0.2500  4 Hf 3.14, 4 Sb 3.14

***

Record 21
The following is a DFT calculation (GGA-PBE) of a relaxed HfMgTcSb crystal.

## Properties
ΔE to the lowest computed polymorph (meV per atom): 227

abc: 6.6683 6.6683 6.6683
angles: 90.00 90.00 90.00
Last column: nearest neighbours and their distance in Å.
Space group F-43m (No. 216)
Unique sites:
Hf 0.0000 0.0000 0.0000  4 Sb 2.89, 4 Mg 2.89
Mg 0.2500 0.2500 0.2500  4 Hf 2.89, 4 Tc 2.89
Tc 0.0000 0.0000 0.5000  4 Sb 2.89, 4 Mg 2.89
Sb 0.2500 0.2500 0.7500  4 Hf 2.89, 4 Tc 2.89

***

Record 22
The following is a DFT calculation (GGA-PBE) of a relaxed HfMgTcSb crystal.

## Properties
ΔE to the lowest computed polymorph (meV per atom): 0

abc: 6.6079 6.6079 6.6079
angles: 90.00 90.00 90.00
Last column: nearest neighbours and their distance in Å.
Space group F-43m (No. 216)
Unique sites:
Hf 0.0000 0.0000 0.0000  4 Mg 2.86, 4 Tc 2.86
Mg 0.2500 0.2500 0.7500  4 Hf 2.86, 4 Sb 2.86
Tc 0.2500 0.2500 0.2500  4 Hf 2.86, 4 Sb 2.86
Sb 0.0000 0.0000 0.5000  4 Tc 2.86, 4 Mg 2.86

***

Record 23
The following is a DFT calculation (GGA-PBE) of a relaxed HfMgTcSb crystal.

## Properties
ΔE to the lowest computed polymorph (meV per atom): 145

abc: 6.6938 6.6938 6.6938
angles: 90.00 90.00 90.00
Last column: nearest neighbours and their distance in Å.
Space group F-43m (No. 216)
Unique sites:
Hf 0.0000 0.0000 0.0000  4 Sb 2.90, 4 Tc 2.90
Mg 0.0000 0.0000 0.5000  4 Tc 2.90, 4 Sb 2.90
Tc 0.2500 0.2500 0.7500  4 Hf 2.90, 4 Mg 2.90
Sb 0.2500 0.2500 0.2500  4 Mg 2.90, 4 Hf 2.90

***

Record 24
The following is a DFT calculation (GGA-PBE) of a relaxed HfMgSc2 crystal.

## Properties
Electronic total energy (eV per atom): -6.08

abc: 3.2206 3.2206 8.8718
angles: 90.00 90.00 90.00
Last column: nearest neighbours and their distance in Å.
Space group P4/mmm (No. 123)
Unique sites:
Hf 0.0000 0.0000 0.0000  8 Sc 3.13, 4 Hf 3.22
Mg 0.0000 0.0000 0.5000  4 Mg 3.22, 8 Sc 3.23
Sc 0.5000 0.5000 0.2422  4 Hf 3.13, 4 Sc 3.22, 4 Mg 3.23

***

Record 25
The following is a DFT calculation (GGA-PBE) of a relaxed HfMgSc crystal.

## Properties
ΔE to the lowest computed polymorph (meV per atom): 0

abc: 6.7480 6.7480 6.7480
angles: 90.00 90.00 90.00
Last column: nearest neighbours and their distance in Å.
Space group F-43m (No. 216)
Unique sites:
Hf 0.0000 0.0000 0.0000  4 Mg 2.92
Mg 0.2500 0.2500 0.2500  4 Hf 2.92, 4 Sc 2.92
Sc 0.0000 0.0000 0.5000  4 Mg 2.92

***

Record 26
The following is a DFT calculation (GGA-PBE) of a relaxed HfMgSc2 crystal.

## Properties
Electronic total energy (eV per atom): -5.85

abc: 7.0935 7.0935 7.0935
angles: 90.00 90.00 90.00
Last column: nearest neighbours and their distance in Å.
Space group F-43m (No. 216)
Unique sites:
Hf 0.0000 0.0000 0.0000  4 Mg 3.07, 4 Sc 3.07
Mg 0.2500 0.2500 0.7500  4 Hf 3.07, 4 Sc 3.07
Sc 0.0000 0.0000 0.5000  4 Mg 3.07, 4 Sc 3.07
Sc 0.2500 0.2500 0.2500  4 Hf 3.07, 4 Sc 3.07

***

Record 27
The following is a DFT calculation (GGA-PBE) of a relaxed HfMg2Si crystal.

## Properties
Electronic total energy (eV per atom): -4.49

abc: 6.7021 6.7021 6.7021
angles: 90.00 90.00 90.00
Last column: nearest neighbours and their distance in Å.
Space group F-43m (No. 216)
Unique sites:
Hf 0.0000 0.0000 0.0000  4 Mg 2.90, 4 Si 2.90
Mg 0.0000 0.0000 0.5000  4 Mg 2.90, 4 Si 2.90
Mg 0.2500 0.2500 0.2500  4 Mg 2.90, 4 Hf 2.90
Si 0.2500 0.2500 0.7500  4 Hf 2.90, 4 Mg 2.90

***

Record 28
The following is a DFT calculation (GGA-PBE) of a relaxed Hf2MgSn crystal.

## Properties
Electronic total energy (eV per atom): -6.17

abc: 7.0392 7.0392 7.0392
angles: 90.00 90.00 90.00
Last column: nearest neighbours and their distance in Å.
Space group F-43m (No. 216)
Unique sites:
Hf 0.0000 0.0000 0.0000  4 Hf 3.05, 4 Mg 3.05
Hf 0.2500 0.2500 0.2500  4 Sn 3.05, 4 Hf 3.05
Mg 0.2500 0.2500 0.7500  4 Hf 3.05, 4 Sn 3.05
Sn 0.0000 0.0000 0.5000  4 Mg 3.05, 4 Hf 3.05

***

Record 29
The following is a DFT calculation (GGA-PBE) of a relaxed HfMgSn crystal.

## Properties
Electronic total energy (eV per atom): -4.96

abc: 6.7110 6.7110 6.7110
angles: 90.00 90.00 90.00
Last column: nearest neighbours and their distance in Å.
Space group F-43m (No. 216)
Unique sites:
Hf 0.0000 0.0000 0.0000  4 Sn 2.91
Mg 0.0000 0.0000 0.5000  4 Sn 2.91
Sn 0.2500 0.2500 0.2500  4 Hf 2.91, 4 Mg 2.91